Below is a geometry-optimized CaSi2Cl structure, with properties calculated at the GGA-PBE level.

Lattice parameters (Å, degrees): 3.7058 3.7058 12.5942 90.00 90.00 90.00
Last column: nearest neighbours and their distance in Å.
Space group I4/mmm (No. 139)
Inequivalent atoms, fractional coordinates:
Ca 0.0000 0.0000 0.0000 x2  4 Cl 2.62
Si 0.0000 0.5000 0.2500 x4  4 Si 2.62
Cl 0.0000 0.0000 0.5000 x2  4 Ca 2.62

Computed properties:
Formation energy (no corrections) (eV/f.u.): -1.94
Size of the total moment (μB/f.u.): 0.00
Density of states at the Fermi level (states/eV/cell): 5.153
Offset from the most stable computed form (eV/atom): 0.332